No. 1
This record from the Alexandria database describes crystalline CaSn4Se5 at its relaxed geometry. The functional is PBE.

Properties
- total energy (eV/atom) = -4.285
- SG = Immm, No. 71
- size of the total moment (μB per formula unit) = 0.00
- uncorrected formation energy (eV per atom) = -0.7417

Unit cell a=11.3455 b=11.3455 c=11.3455 alpha=158.27 beta=149.15 gamma=38.05
With the nearest neighbours (Å) after each atom.
Positions (direct):
Ca (0.0000, 0.0000, 0.0000)  6 Se 2.99-3.02
Sn (0.2005, 0.2005, 0.0000)  6 Se 3.02-3.08
Sn (0.4008, 0.4008, 0.0000)  6 Se 3.02-3.05
Sn (0.5992, 0.5992, 0.0000)  6 Se 3.02-3.05
Sn (0.7995, 0.7995, 0.0000)  6 Se 3.02-3.08
Se (0.0974, 0.5974, 0.5000)  2 Ca 2.99, 4 Sn 3.02-3.08
Se (0.2998, 0.7998, 0.5000)  6 Sn 3.02-3.05
Se (0.5000, 0.0000, 0.5000)  4 Sn 3.02, 2 Ca 3.02
Se (0.7002, 0.2002, 0.5000)  6 Sn 3.02-3.05
Se (0.9026, 0.4026, 0.5000)  2 Ca 2.99, 4 Sn 3.02-3.08

=====

No. 2
This record from the Alexandria database describes crystalline CaSn2Se4 at its relaxed geometry. The functional is PBE.

Properties
- total energy (eV/atom) = -4.201
- SG = Cmcm, No. 63
- E above lowest polymorph (kJ/mol of formula units) = 0
- size of the total moment (μB per formula unit) = 0.00
- uncorrected formation energy (eV per atom) = -0.7798

Unit cell a=7.0147 b=7.0147 c=13.4951 alpha=90.00 beta=90.00 gamma=145.77
With the nearest neighbours (Å) after each atom.
Positions (direct):
Ca (0.0962, 0.9038, 0.7500)  6 Se 2.92-3.14
Ca (0.9038, 0.0962, 0.2500)  6 Se 2.92-3.14
Sn (0.3629, 0.6371, 0.5636)  6 Se 2.73-2.92
Sn (0.3629, 0.6371, 0.9364)  6 Se 2.73-2.92
Sn (0.6371, 0.3629, 0.0636)  6 Se 2.73-2.92
Sn (0.6371, 0.3629, 0.4364)  6 Se 2.73-2.92
Se (0.0000, 0.0000, 0.0000)  4 Sn 2.89
Se (0.0000, 0.0000, 0.5000)  4 Sn 2.89
Se (0.2777, 0.7223, 0.1266)  3 Sn 2.81-2.92, 2 Ca 3.14
Se (0.2777, 0.7223, 0.3734)  3 Sn 2.81-2.92, 2 Ca 3.14
Se (0.4422, 0.5578, 0.7500)  2 Sn 2.73, 2 Ca 2.92
Se (0.5578, 0.4422, 0.2500)  2 Sn 2.73, 2 Ca 2.92
Se (0.7223, 0.2777, 0.6266)  3 Sn 2.81-2.92, 2 Ca 3.14
Se (0.7223, 0.2777, 0.8734)  3 Sn 2.81-2.92, 2 Ca 3.14

=====

No. 3
This record from the Alexandria database describes crystalline CaSn6Se8 at its relaxed geometry. The functional is PBE.

Properties
- total energy (eV/atom) = -4.118
- SG = P-3, No. 147
- size of the total moment (μB per formula unit) = 0.00
- uncorrected formation energy (eV per atom) = -0.5254

Unit cell a=10.5155 b=10.5155 c=4.4005 alpha=90.00 beta=90.00 gamma=120.00
With the nearest neighbours (Å) after each atom.
Positions (direct):
Ca (0.0000, 0.0000, 0.0000)  6 Se 3.09
Sn (0.1318, 0.4540, 0.7706)  4 Se 2.73-3.01
Sn (0.3222, 0.8682, 0.7706)  4 Se 2.73-3.01
Sn (0.4540, 0.3222, 0.2294)  4 Se 2.73-3.01
Sn (0.5460, 0.6778, 0.7706)  4 Se 2.73-3.01
Sn (0.6778, 0.1318, 0.2294)  4 Se 2.73-3.01
Sn (0.8682, 0.5460, 0.2294)  4 Se 2.73-3.01
Se (0.0238, 0.7391, 0.7461)  3 Sn 2.73-2.94
Se (0.2609, 0.2848, 0.7461)  3 Sn 2.73-2.94
Se (0.2848, 0.0238, 0.2539)  3 Sn 2.73-2.94
Se (0.3333, 0.6667, 0.2432)  6 Sn 3.01-3.18
Se (0.6667, 0.3333, 0.7568)  6 Sn 3.01-3.18
Se (0.7152, 0.9762, 0.7461)  3 Sn 2.73-2.94
Se (0.7391, 0.7152, 0.2539)  3 Sn 2.73-2.94
Se (0.9762, 0.2609, 0.2539)  3 Sn 2.73-2.94

=====

No. 4
This record from the Alexandria database describes crystalline Ca4Sn2Se at its relaxed geometry. The functional is PBE.

Properties
- total energy (eV/atom) = -3.605
- SG = I4/mmm, No. 139
- size of the total moment (μB per formula unit) = 0.00
- uncorrected formation energy (eV per atom) = -0.8198

Unit cell a=8.4535 b=8.4535 c=8.4535 alpha=141.15 beta=141.15 gamma=56.10
With the nearest neighbours (Å) after each atom.
Positions (direct):
Ca (0.0000, 0.5000, 0.5000)  2 Se 2.81
Ca (0.1881, 0.1881, 0.0000)  1 Se 2.81, 1 Sn 3.04
Ca (0.5000, 0.0000, 0.5000)  2 Se 2.81
Ca (0.8119, 0.8119, 0.0000)  1 Se 2.81, 1 Sn 3.04
Sn (0.3915, 0.3915, 0.0000)  5 Ca 3.04-3.24, 1 Sn 3.24
Sn (0.6085, 0.6085, 0.0000)  5 Ca 3.04-3.24, 1 Sn 3.24
Se (0.0000, 0.0000, 0.0000)  6 Ca 2.81

=====

No. 5
This record from the Alexandria database describes crystalline CaSn2Se4 at its relaxed geometry. The functional is PBE.

Properties
- total energy (eV/atom) = -4.169
- SG = I-42d, No. 122
- E above lowest polymorph (kJ/mol of formula units) = 21
- size of the total moment (μB per formula unit) = 0.00
- uncorrected formation energy (eV per atom) = -0.7486

Unit cell a=7.9377 b=7.9377 c=7.9377 alpha=109.57 beta=109.57 gamma=109.27
With the nearest neighbours (Å) after each atom.
Positions (direct):
Ca (0.0000, 0.0000, 0.0000)  4 Se 2.90
Ca (0.7500, 0.2500, 0.5000)  4 Se 2.90
Sn (0.3753, 0.1250, 0.7503)  6 Se 2.84-2.93
Sn (0.3747, 0.6250, 0.2497)  6 Se 2.84-2.93
Sn (0.3750, 0.6247, 0.7497)  6 Se 2.84-2.93
Sn (0.8750, 0.6253, 0.2503)  6 Se 2.84-2.93
Se (0.0710, 0.3801, 0.3079)  3 Sn 2.84-2.93, 1 Ca 2.90
Se (0.0721, 0.7631, 0.6921)  3 Sn 2.84-2.93, 1 Ca 2.90
Se (0.1301, 0.3210, 0.8079)  3 Sn 2.84-2.93, 1 Ca 2.90
Se (0.2369, 0.9290, 0.3091)  3 Sn 2.84-2.93, 1 Ca 2.90
Se (0.5131, 0.3221, 0.1921)  3 Sn 2.84-2.93, 1 Ca 2.90
Se (0.6199, 0.9279, 0.6909)  3 Sn 2.84-2.93, 1 Ca 2.90
Se (0.6779, 0.8699, 0.1909)  3 Sn 2.84-2.93, 1 Ca 2.90
Se (0.6790, 0.4869, 0.8091)  3 Sn 2.84-2.93, 1 Ca 2.90

=====

No. 6
This record from the Alexandria database describes crystalline SrCa2SnSe4 at its relaxed geometry. The functional is PBE.

Properties
- total energy (eV/atom) = -4.570
- SG = P2/m, No. 10
- size of the total moment (μB per formula unit) = 0.00
- uncorrected formation energy (eV per atom) = -1.6168

Unit cell a=7.4420 b=4.2976 c=7.4866 alpha=90.00 beta=109.40 gamma=90.00
With the nearest neighbours (Å) after each atom.
Positions (direct):
Sr (0.0000, 0.0000, 0.0000)  6 Se 3.10
Ca (0.0000, 0.5000, 0.5000)  6 Se 3.01-3.02
Ca (0.5000, 0.0000, 0.5000)  6 Se 2.99
Sn (0.5000, 0.5000, 0.0000)  6 Se 3.08
Se (0.2492, 0.0000, 0.7397)  3 Ca 2.99-3.01, 2 Sn 3.08, 1 Sr 3.10
Se (0.2567, 0.5000, 0.2615)  3 Ca 2.99-3.02, 1 Sn 3.08, 2 Sr 3.10
Se (0.7433, 0.5000, 0.7385)  3 Ca 2.99-3.02, 1 Sn 3.08, 2 Sr 3.10
Se (0.7508, 0.0000, 0.2603)  3 Ca 2.99-3.01, 2 Sn 3.08, 1 Sr 3.10

=====

No. 7
This record from the Alexandria database describes crystalline SrCaSn2Se4 at its relaxed geometry. The functional is PBE.

Properties
- total energy (eV/atom) = -4.398
- SG = P2/m, No. 10
- size of the total moment (μB per formula unit) = 0.00
- uncorrected formation energy (eV per atom) = -1.1948

Unit cell a=7.4919 b=4.3241 c=7.5338 alpha=90.00 beta=109.33 gamma=90.00
With the nearest neighbours (Å) after each atom.
Positions (direct):
Sr (0.0000, 0.0000, 0.0000)  6 Se 3.09
Ca (0.5000, 0.5000, 0.0000)  6 Se 3.02-3.03
Sn (0.0000, 0.5000, 0.5000)  6 Se 3.10-3.11
Sn (0.5000, 0.0000, 0.5000)  6 Se 3.04
Se (0.2573, 0.5000, 0.2505)  1 Ca 3.02, 3 Sn 3.04-3.11, 2 Sr 3.09
Se (0.2578, 0.0000, 0.7533)  2 Ca 3.03, 3 Sn 3.04-3.10, 1 Sr 3.09
Se (0.7422, 0.0000, 0.2467)  2 Ca 3.03, 3 Sn 3.04-3.10, 1 Sr 3.09
Se (0.7427, 0.5000, 0.7495)  1 Ca 3.02, 3 Sn 3.04-3.11, 2 Sr 3.09

=====

No. 8
This record from the Alexandria database describes crystalline CaTc2SnSe at its relaxed geometry. The functional is PBE.

Properties
- total energy (eV/atom) = -4.962
- SG = P4/mmm, No. 123
- size of the total moment (μB per formula unit) = 5.63
- uncorrected formation energy (eV per atom) = 1.0821

Unit cell a=5.0563 b=5.0563 c=5.6010 alpha=90.00 beta=90.00 gamma=90.00
With the nearest neighbours (Å) after each atom.
Positions (direct):
Ca (0.0000, 0.0000, 0.0000)  4 Se 3.58, 8 Tc 3.77
Tc (0.0000, 0.5000, 0.5000)  2 Sn 2.53
Tc (0.5000, 0.0000, 0.5000)  2 Sn 2.53
Sn (0.5000, 0.5000, 0.5000)  4 Tc 2.53, 2 Se 2.80
Se (0.5000, 0.5000, 0.0000)  2 Sn 2.80